# CoPRuO2, optimized geometry, DFT PBE with a Hubbard U
data_CoPRuO2
_chemical_formula_sum 'Co1 P1 Ru1 O2'
_cell_length_a 3.701
_cell_length_b 3.701
_cell_length_c 5.288
_cell_angle_alpha 90.00
_cell_angle_beta 90.00
_cell_angle_gamma 90.00
_symmetry_space_group_name_H-M 'P 1'
_symmetry_Int_Tables_number 1
_symmetry_space_group_name_Hall 'P 1'
loop_
_atom_site_label
_atom_site_type_symbol
_atom_site_fract_x
_atom_site_fract_y
_atom_site_fract_z
_atom_site_occupancy
Co1 Co 0.000 0.000 0.000 1
P1 P 0.500 0.500 0.000 1
Ru1 Ru 0.500 0.500 0.500 1
O1 O 0.000 0.500 0.500 1
O2 O 0.500 0.000 0.500 1
# Crystal system ... tetragonal
# DOS at the Fermi energy ... 0.6688 states/eV per atom
# SG ... P4/mmm
# Offset from the most stable computed form ... 0 meV per atom
# Magnetization ... 1.8 μB/f.u.